18
Lattice="-1.071 -4.272 -5.750 6.541 -2.760 0.832 -4.651 -0.107 5.507" Properties=species:S:1:pos:R:3 comment="RbAlCoF6 (PBE+U, optimized geometry)" magmom_total_mub_per_cell=6.00 final_energy_ev_per_atom=-5.308 space_group="No. 74" pbc="T T T"
Rb -0.332 -5.533 -0.389
Al 2.735 -3.516 -2.459
F -3.463 -3.890 -1.026
Co -2.325 -0.053 2.753
F 0.935 -3.137 -2.405
F 4.282 -3.248 1.615
F -0.116 -4.000 2.994
F -1.868 -3.400 1.247
F -1.426 -3.687 -3.184
Co -2.861 -2.189 -0.122
F -1.044 -2.163 -1.133
Al -0.535 -2.136 -2.875
F 2.244 -3.451 3.772
F 2.305 -5.261 -2.709
F 2.687 -3.738 -0.659
Rb 1.151 -1.605 0.978
F -1.487 -1.877 3.298
F 1.863 -4.974 1.722